*w*
Entry from Alexandria: crystalline Ca2SiBr at its relaxed geometry (PBE).

Computed properties:
M_tot = 1.00 μB per formula unit

a = 5.2795 Å, b = 5.2795 Å, c = 5.2795 Å
α = 60.00°, β = 60.00°, γ = 60.00°
Fractional coordinates of all 4 atoms:
Ca: 0.2500 0.2500 0.2500
Ca: 0.7500 0.7500 0.7500
Si: 0.0000 0.0000 0.0000
Br: 0.5000 0.5000 0.5000

*x*
Entry from Alexandria: crystalline Ca2SiBr at its relaxed geometry (PBE).

Computed properties:
M_tot = 0.00 μB per formula unit

a = 8.0019 Å, b = 8.0019 Å, c = 8.0019 Å
α = 30.14°, β = 30.14°, γ = 30.14°
Fractional coordinates of all 4 atoms:
Ca: 0.2407 0.2407 0.2407
Ca: 0.7593 0.7593 0.7593
Si: 0.5000 0.5000 0.5000
Br: 0.0000 0.0000 0.0000

*y*
Entry from Alexandria: crystalline Ca2SiBr at its relaxed geometry (PBE).

Computed properties:
M_tot = 0.00 μB per formula unit

a = 3.5984 Å, b = 3.5984 Å, c = 8.0075 Å
α = 90.00°, β = 90.00°, γ = 90.00°
Fractional coordinates of all 4 atoms:
Ca: 0.0000 0.0000 0.2167
Ca: 0.0000 0.0000 0.7833
Si: 0.5000 0.5000 0.0000
Br: 0.5000 0.5000 0.5000

Quick ranking, most stable first: *x*, *y*, *w*.

*w*
Entry from Alexandria: crystalline Ca2SmBr at its relaxed geometry (PBE).

Computed properties:
M_tot = 0.00 μB per formula unit

a = 10.7366 Å, b = 10.7366 Å, c = 10.7366 Å
α = 20.46°, β = 20.46°, γ = 20.46°
Fractional coordinates of all 4 atoms:
Ca: 0.2387 0.2387 0.2387
Ca: 0.7613 0.7613 0.7613
Sm: 0.0000 0.0000 0.0000
Br: 0.5000 0.5000 0.5000

*x*
Entry from Alexandria: crystalline Ca2SmBr at its relaxed geometry (PBE).

Computed properties:
M_tot = 0.00 μB per formula unit

a = 3.6541 Å, b = 3.6541 Å, c = 9.9769 Å
α = 90.00°, β = 90.00°, γ = 90.00°
Fractional coordinates of all 4 atoms:
Ca: 0.0000 0.0000 0.2249
Ca: 0.0000 0.0000 0.7751
Sm: 0.5000 0.5000 0.5000
Br: 0.5000 0.5000 0.0000

Quick ranking, most stable first: *w*, *x*.

*w*
Entry from Alexandria: crystalline CaSn3Br at its relaxed geometry (PBE).

Computed properties:
M_tot = 0.00 μB per formula unit

a = 5.6015 Å, b = 5.6015 Å, c = 5.6015 Å
α = 90.00°, β = 90.00°, γ = 90.00°
Fractional coordinates of all 5 atoms:
Ca: 0.0000 0.0000 0.0000
Sn: 0.0000 0.5000 0.5000
Sn: 0.5000 0.0000 0.5000
Sn: 0.5000 0.5000 0.0000
Br: 0.5000 0.5000 0.5000

*x*
Entry from Alexandria: crystalline CaSn3Br at its relaxed geometry (PBE).

Computed properties:
M_tot = 0.00 μB per formula unit

a = 5.9383 Å, b = 5.9383 Å, c = 5.9383 Å
α = 90.00°, β = 90.00°, γ = 90.00°
Fractional coordinates of all 5 atoms:
Ca: 0.0000 0.0000 0.0000
Sn: 0.0000 0.0000 0.5000
Sn: 0.0000 0.5000 0.0000
Sn: 0.5000 0.0000 0.0000
Br: 0.5000 0.5000 0.5000

Quick ranking, most stable first: *w*, *x*.

*w*
Entry from Alexandria: crystalline Ca2SnBr at its relaxed geometry (PBE).

Computed properties:
M_tot = 1.00 μB per formula unit

a = 7.0804 Å, b = 7.0804 Å, c = 7.0804 Å
α = 110.85°, β = 110.85°, γ = 106.75°
Fractional coordinates of all 8 atoms:
Ca: 0.1076 0.6250 0.9826
Ca: 0.3750 0.3576 0.4826
Ca: 0.6424 0.1250 0.0174
Ca: 0.8750 0.8924 0.5174
Sn: 0.2500 0.7500 0.5000
Sn: 0.5000 0.5000 0.0000
Br: 0.0000 0.0000 0.0000
Br: 0.7500 0.2500 0.5000

*x*
Entry from Alexandria: crystalline Ca2SnBr at its relaxed geometry (PBE).

Computed properties:
M_tot = 0.00 μB per formula unit

a = 3.7334 Å, b = 3.7334 Å, c = 8.3505 Å
α = 90.00°, β = 90.00°, γ = 90.00°
Fractional coordinates of all 4 atoms:
Ca: 0.0000 0.0000 0.2318
Ca: 0.0000 0.0000 0.7682
Sn: 0.5000 0.5000 0.0000
Br: 0.5000 0.5000 0.5000

Quick ranking, most stable first: *x*, *w*.

*w*
Entry from Alexandria: crystalline Ca2SnBr at its relaxed geometry (PBE).

Computed properties:
M_tot = 0.00 μB per formula unit

a = 5.5064 Å, b = 5.5064 Å, c = 5.5064 Å
α = 60.00°, β = 60.00°, γ = 60.00°
Fractional coordinates of all 4 atoms:
Ca: 0.2500 0.2500 0.2500
Ca: 0.7500 0.7500 0.7500
Sn: 0.0000 0.0000 0.0000
Br: 0.5000 0.5000 0.5000

*x*
Entry from Alexandria: crystalline Ca2SnBr at its relaxed geometry (PBE).

Computed properties:
M_tot = 0.00 μB per formula unit

a = 8.2459 Å, b = 8.2459 Å, c = 8.2459 Å
α = 30.35°, β = 30.35°, γ = 30.35°
Fractional coordinates of all 4 atoms:
Ca: 0.2461 0.2461 0.2461
Ca: 0.7539 0.7539 0.7539
Sn: 0.5000 0.5000 0.5000
Br: 0.0000 0.0000 0.0000

Quick ranking, most stable first: *x*, *w*.

*w*
Entry from Alexandria: crystalline CaSnBr2 at its relaxed geometry (PBE).

Computed properties:
M_tot = 0.00 μB per formula unit

a = 6.9362 Å, b = 6.9362 Å, c = 6.9362 Å
α = 105.43°, β = 105.43°, γ = 117.89°
Fractional coordinates of all 8 atoms:
Ca: 0.0000 0.0000 0.0000
Ca: 0.7500 0.2500 0.5000
Sn: 0.2500 0.7500 0.5000
Sn: 0.5000 0.5000 0.0000
Br: 0.0944 0.6250 0.9694
Br: 0.3750 0.3444 0.4694
Br: 0.6556 0.1250 0.0306
Br: 0.8750 0.9056 0.5306

*x*
Entry from Alexandria: crystalline CaSnBr2 at its relaxed geometry (PBE).

Computed properties:
M_tot = 0.00 μB per formula unit

a = 11.7477 Å, b = 11.7477 Å, c = 11.7477 Å
α = 19.08°, β = 19.08°, γ = 19.08°
Fractional coordinates of all 4 atoms:
Ca: 0.0000 0.0000 0.0000
Sn: 0.5000 0.5000 0.5000
Br: 0.3840 0.3840 0.3840
Br: 0.6160 0.6160 0.6160

*y*
Entry from Alexandria: crystalline CaSnBr2 at its relaxed geometry (PBE).

Computed properties:
M_tot = 0.00 μB per formula unit

a = 5.4294 Å, b = 5.4294 Å, c = 5.4294 Å
α = 60.00°, β = 60.00°, γ = 60.00°
Fractional coordinates of all 4 atoms:
Ca: 0.0000 0.0000 0.0000
Sn: 0.5000 0.5000 0.5000
Br: 0.2500 0.2500 0.2500
Br: 0.7500 0.7500 0.7500

Quick ranking, most stable first: *x*, *w*, *y*.

*w*
Entry from Alexandria: crystalline Sr2CaBr at its relaxed geometry (PBE).

Computed properties:
M_tot = 0.56 μB per formula unit

a = 11.5946 Å, b = 11.5946 Å, c = 11.5946 Å
α = 20.50°, β = 20.50°, γ = 20.50°
Fractional coordinates of all 4 atoms:
Sr: 0.0000 0.0000 0.0000
Sr: 0.2312 0.2312 0.2312
Ca: 0.4683 0.4683 0.4683
Br: 0.7371 0.7371 0.7371

*x*
Entry from Alexandria: crystalline Sr2CaBr at its relaxed geometry (PBE).

Computed properties:
M_tot = 0.50 μB per formula unit

a = 11.4575 Å, b = 11.4575 Å, c = 11.4575 Å
α = 20.92°, β = 20.92°, γ = 20.92°
Fractional coordinates of all 4 atoms:
Sr: 0.2368 0.2368 0.2368
Sr: 0.7632 0.7632 0.7632
Ca: 0.0000 0.0000 0.0000
Br: 0.5000 0.5000 0.5000

*y*
Entry from Alexandria: crystalline Sr2CaBr at its relaxed geometry (PBE).

Computed properties:
M_tot = 0.00 μB per formula unit

a = 7.3833 Å, b = 7.3833 Å, c = 7.3833 Å
α = 147.76°, β = 121.45°, γ = 68.43°
Fractional coordinates of all 4 atoms:
Sr: 0.2016 0.2016 0.0000
Sr: 0.7984 0.7984 0.0000
Ca: 0.5000 0.0000 0.5000
Br: 0.0000 0.5000 0.5000

Quick ranking, most stable first: *x*, *w*, *y*.

*w*
Entry from Alexandria: crystalline Sr2CaBr at its relaxed geometry (PBE).

Computed properties:
M_tot = 0.00 μB per formula unit

a = 7.0064 Å, b = 4.0844 Å, c = 7.0504 Å
α = 90.00°, β = 119.04°, γ = 90.00°
Fractional coordinates of all 4 atoms:
Sr: 0.0000 0.0000 0.0000
Sr: 0.3709 0.5000 0.6665
Ca: 0.6014 0.5000 0.2747
Br: 0.9705 0.0000 0.4965

*x*
Entry from Alexandria: crystalline Sr2CaBr at its relaxed geometry (PBE).

Computed properties:
M_tot = 0.00 μB per formula unit

a = 7.9821 Å, b = 7.9821 Å, c = 7.9821 Å
α = 104.62°, β = 104.62°, γ = 119.69°
Fractional coordinates of all 8 atoms:
Sr: 0.0490 0.6250 0.9240
Sr: 0.3750 0.2990 0.4240
Sr: 0.7010 0.1250 0.0760
Sr: 0.8750 0.9510 0.5760
Ca: 0.2500 0.7500 0.5000
Ca: 0.5000 0.5000 0.0000
Br: 0.0000 0.0000 0.0000
Br: 0.7500 0.2500 0.5000

Quick ranking, most stable first: *w*, *x*.